No. 1
Below is a geometry-optimized TbCd3Pd6 structure, with properties calculated at the PBE level.

Computed properties:
SG ... P2_1/m, No. 11
Formation energy ... -0.525 eV/atom
Theoretical density ... 10.61 Mg/m³
VASP energy ... -0.3218 Ry per atom
M_tot ... 0.000 μB/atom

Unit cell a=8.8000 b=4.2871 c=9.4540 alpha=90.00 beta=95.47 gamma=90.00
Fractional positions:
Tb 0.0633 0.2500 0.3742
Tb 0.9367 0.7500 0.6258
Cd 0.2478 0.2500 0.0148
Cd 0.3446 0.7500 0.8080
Cd 0.4484 0.2500 0.6026
Cd 0.5516 0.7500 0.3974
Cd 0.6554 0.2500 0.1920
Cd 0.7522 0.7500 0.9852
Pd 0.0545 0.7500 0.9122
Pd 0.1517 0.2500 0.7060
Pd 0.1546 0.7500 0.2066
Pd 0.2538 0.7500 0.5067
Pd 0.3656 0.2500 0.3012
Pd 0.4541 0.7500 0.1002
Pd 0.5459 0.2500 0.8998
Pd 0.6344 0.7500 0.6988
Pd 0.7462 0.2500 0.4933
Pd 0.8454 0.2500 0.7934
Pd 0.8483 0.7500 0.2940
Pd 0.9455 0.2500 0.0878

No. 2
Below is a geometry-optimized Li2LaMn structure, with properties calculated at the PBE level.

Computed properties:
ΔE to the lowest computed polymorph ... 0.066 eV/atom
SG ... Pmmm, No. 47
Formation energy ... 0.307 eV/atom
Theoretical density ... 3.86 Mg/m³
VASP energy ... -0.3068 Ry per atom
M_tot ... 0.738 μB/atom

Unit cell a=3.4782 b=4.8063 c=5.3423 alpha=90.00 beta=90.00 gamma=90.00
Fractional positions:
Li 0.0000 0.0000 0.0000
Li 0.5000 0.5000 0.0000
La 0.0000 0.5000 0.5000
Mn 0.5000 0.0000 0.5000

No. 3
Below is a geometry-optimized La3InPd structure, with properties calculated at the PBE level.

Computed properties:
ΔE to the lowest computed polymorph ... 0.046 eV/atom
SG ... Cmmm, No. 65
Formation energy ... -0.413 eV/atom
Theoretical density ... 6.37 Mg/m³
VASP energy ... -0.3643 Ry per atom
M_tot ... 0.000 μB/atom

Unit cell a=9.2036 b=9.2036 c=4.1736 alpha=90.00 beta=90.00 gamma=109.91
Fractional positions:
La 0.1785 0.8215 0.0000
La 0.1870 0.4100 0.5000
La 0.4100 0.1870 0.5000
La 0.5900 0.8130 0.5000
La 0.8130 0.5900 0.5000
La 0.8215 0.1785 0.0000
In 0.0000 0.0000 0.5000
In 0.5000 0.5000 0.0000
Pd 0.0000 0.5000 0.0000
Pd 0.5000 0.0000 0.0000